A geometry-optimized SrCd2Cu structure. Source: Alexandria, functional PBEsol.

Calculated values
- Final energy: -2.28 eV/atom
- Symmetry: R3m (160)
- Formation energy from the elements: -0.14 eV/atom

Lattice parameters (Å, degrees): 5.956 5.956 5.956 45.67 45.67 45.67
Sites, in units of the cell vectors:
1 Sr 0.000 0.000 0.000
2 Cd 0.529 0.529 0.529
3 Cd 0.797 0.797 0.797
4 Cu 0.194 0.194 0.194